[1]
Computed, not measured: a relaxed CaTbPd2 crystal at the PBE-GGA level of DFT.

Summary:
For the total energy, the calculation gives -5.07 eV/atom.

Cell: 3.5173 3.5173 7.1272 Å, 90.00 90.00 90.00°
Space group P4/mmm (No. 123)
Unique sites:
Ca: 0.0000 0.0000 0.0000 x1
Tb: 0.0000 0.0000 0.5000 x1
Pd: 0.5000 0.5000 0.2702 x2

***

[2]
Computed, not measured: a relaxed LaCeGaCu crystal at the PBE-GGA level of DFT.

Summary:
For the total energy, the calculation gives -4.76 eV/atom.

Cell: 7.3348 7.3348 7.3348 Å, 90.00 90.00 90.00°
Space group F-43m (No. 216)
Unique sites:
La: 0.0000 0.0000 0.0000 x4
Ce: 0.0000 0.0000 0.5000 x4
Ga: 0.2500 0.2500 0.7500 x4
Cu: 0.2500 0.2500 0.2500 x4

***

[3]
Computed, not measured: a relaxed Mg2SbCl crystal at the PBE-GGA level of DFT.

Summary:
The value obtained for the formation energy (no corrections) is -15.2 kcal/mol of atoms. The value obtained for the energy above the lowest structure with this stoichiometry is 82.7 meV/atom.

Cell: 10.9164 3.7658 4.7506 Å, 90.00 90.68 90.00°
Space group Cm (No. 8)
Unique sites:
Mg: 0.0000 0.0000 0.0000 x2
Mg: 0.2412 0.0000 0.5781 x2
Sb: 0.0212 0.5000 0.4896 x2
Cl: 0.2764 0.5000 0.9677 x2

***

[4]
Computed, not measured: a relaxed AlTe2HIr crystal at the PBE-GGA level of DFT.

Summary:
For the total energy, the calculation gives -4.06 eV/atom.

Cell: 5.1007 5.1007 3.4362 Å, 90.00 90.00 90.00°
Space group P4/mmm (No. 123)
Unique sites:
Al: 0.0000 0.0000 0.0000 x1
Te: 0.0000 0.5000 0.5000 x2
H: 0.5000 0.5000 0.5000 x1
Ir: 0.5000 0.5000 0.0000 x1

***

[5]
Computed, not measured: a relaxed SrMoPt crystal at the PBE-GGA level of DFT.

Summary:
The value obtained for the energy above the lowest structure with this stoichiometry is 64.4 meV/atom.

Cell: 11.5727 3.9096 7.7210 Å, 90.00 121.57 90.00°
Space group C2/m (No. 12)
Unique sites:
Sr: 0.0799 0.0000 0.2963 x4
Mo: 0.2291 0.5000 0.0798 x4
Pt: 0.1205 0.5000 0.6709 x4

***

[6]
Computed, not measured: a relaxed TaMnCu2 crystal at the PBE-GGA level of DFT.

Summary:
The value obtained for the energy above the lowest structure with this stoichiometry is 179.3 meV/atom.

Cell: 2.7657 2.7657 26.3258 Å, 90.00 90.00 120.00°
Space group R-3m (No. 166, hexagonal axes)
Unique sites:
Ta: 0.0000 0.0000 0.0000 x3
Mn: 0.0000 0.0000 0.5000 x3
Cu: 0.0000 0.0000 0.2453 x6

***

[7]
Computed, not measured: a relaxed RbTiGa crystal at the PBE-GGA level of DFT.

Summary:
The value obtained for the energy above the lowest structure with this stoichiometry is 23.8 meV/atom.

Cell: 3.7310 3.9596 13.1267 Å, 81.35 88.80 89.98°
Space group P1 (No. 1)
Unique sites:
Rb: 0.0000 0.0000 0.0000 x1
Rb: 0.4959 0.3281 0.3343 x1
Ti: 0.4740 0.1258 0.7440 x1
Ti: 0.9852 0.2027 0.5905 x1
Ga: 0.4860 0.7058 0.5838 x1
Ga: 0.9729 0.6226 0.7507 x1

***

[8]
Computed, not measured: a relaxed CeAgPd crystal at the PBE-GGA level of DFT.

Summary:
The value obtained for the energy above the lowest structure with this stoichiometry is 0.0 meV/atom.

Cell: 7.6694 7.6694 3.8792 Å, 90.00 90.00 120.00°
Space group P-62m (No. 189)
Unique sites:
Ce: 0.0000 0.6053 0.0000 x3
Ag: 0.0000 0.2607 0.5000 x3
Pd: 0.0000 0.0000 0.0000 x1
Pd: 0.3333 0.6667 0.5000 x2

***

[9]
Computed, not measured: a relaxed Na2Mg2Tl crystal at the PBE-GGA level of DFT.

Summary:
The value obtained for the energy above the lowest structure with this stoichiometry is 0.0 meV/atom.

Cell: 7.6496 7.6496 5.0397 Å, 90.00 90.00 90.00°
Space group P4/mbm (No. 127)
Unique sites:
Na: 0.1684 0.3316 0.0000 x4
Mg: 0.1391 0.6391 0.5000 x4
Tl: 0.0000 0.0000 0.5000 x2

***

[10]
Computed, not measured: a relaxed La2Sm5Ga4 crystal at the PBE-GGA level of DFT.

Summary:
For the total energy, the calculation gives -4.19 eV/atom.

Cell: 4.5839 11.3640 14.1332 Å, 90.00 90.00 90.00°
Space group Immm (No. 71)
Unique sites:
La: 0.0000 0.0000 0.2006 x4
Sm: 0.0000 0.3309 0.1391 x8
Sm: 0.0000 0.5000 0.5000 x2
Ga: 0.0000 0.0000 0.4118 x4
Ga: 0.0000 0.1429 0.0000 x4

***

[11]
Computed, not measured: a relaxed Pr2Te2N crystal at the PBE-GGA level of DFT.

Summary:
The value obtained for the formation energy (no corrections) is -28.9 kcal/mol of atoms.

Cell: 7.6553 12.2812 6.2273 Å, 90.00 90.00 90.00°
Space group Ibam (No. 72)
Unique sites:
Pr: 0.1781 0.0923 0.0000 x8
Te: 0.1113 0.3561 0.0000 x8
N: 0.0000 0.0000 0.2500 x4

***

[12]
Computed, not measured: a relaxed Nd2Al4Cu3Pd crystal at the PBE-GGA level of DFT.

Summary:
For the total energy, the calculation gives -4.71 eV/atom.

Cell: 4.2430 4.2430 10.3081 Å, 90.00 90.00 90.00°
Space group P-4m2 (No. 115)
Unique sites:
Nd: 0.0000 0.5000 0.2489 x2
Al: 0.0000 0.0000 0.0000 x1
Al: 0.0000 0.5000 0.6295 x2
Al: 0.5000 0.5000 0.0000 x1
Cu: 0.0000 0.5000 0.8688 x2
Cu: 0.5000 0.5000 0.5000 x1
Pd: 0.0000 0.0000 0.5000 x1